# SrTePd

A relaxed SrTePd crystal (GGA-PBE, Alexandria via LeMat-Bulk). Values from VASP.

Quantum ESPRESSO input file:
```
&SYSTEM
  ibrav = 0, nat = 6, ntyp = 3
/
ATOMIC_SPECIES
Sr 87.62 Sr.upf
Te 127.60 Te.upf
Pd 106.42 Pd.upf
CELL_PARAMETERS angstrom
-2.815 4.410 3.537
2.815 -4.410 3.537
2.815 4.410 -3.537
ATOMIC_POSITIONS crystal
Sr 0.000 0.000 0.000
Sr 0.500 0.000 0.500
Te 0.316 0.566 0.750
Te 0.684 0.434 0.250
Pd 0.000 0.000 0.500
Pd 0.000 0.500 0.000
```

Computed properties:
The raw formation energy comes out at -1.068 eV per atom. For the density of states at the Fermi level, the calculation gives 0.086 states/eV/atom. The calculation puts the total energy at -4.407 eV per atom. The magnetic moment is 0.00 μB/cell.